ScCo2PtC | PBE-GGA | relaxed

Unit cell a=3.7595 b=3.7595 c=4.4692 alpha=90.00 beta=90.00 gamma=90.00
Last column: nearest neighbours and their distance in Å.
Sites, in units of the cell vectors:
1 Co 0.5000 0.0000 0.0000  2 C 1.88
2 Co 0.0000 0.5000 0.0000  2 C 1.88
3 C 0.0000 0.0000 0.0000  4 Co 1.88
4 Pt 0.5000 0.5000 0.5000  4 Sc 2.66, 8 Co 2.92
5 Sc 0.0000 0.0000 0.5000  2 C 2.23

Total moment: 0.45 μB/cell
Calculated total energy: -7.4545 eV/atom
V: 12.6 Å³/atom
E_form: -28.3 kJ/mol of atoms



CoSi2PtC | PBE-GGA | relaxed

Unit cell a=4.4938 b=3.4583 c=4.4938 alpha=90.00 beta=90.00 gamma=90.00
Last column: nearest neighbours and their distance in Å.
Sites, in units of the cell vectors:
1 C 0.0000 0.5000 0.0000  2 Co 1.73
2 Si 0.0000 0.0000 0.5000  2 Co 2.25
3 Pt 0.5000 0.5000 0.5000  8 Si 2.84
4 Co 0.0000 0.0000 0.0000  2 C 1.73
5 Si 0.5000 0.0000 0.0000  2 Co 2.25

Total moment: 0.00 μB/cell
Calculated total energy: -5.9975 eV/atom
Uncorrected formation energy: 0.646 eV/atom
V: 14.0 Å³/atom



CoSiPtC2 | PBE-GGA | relaxed

Unit cell a=3.6985 b=4.4747 c=3.6985 alpha=90.00 beta=90.00 gamma=90.00
Last column: nearest neighbours and their distance in Å.
Sites, in units of the cell vectors:
1 Si 0.0000 0.0000 0.0000  4 C 1.85
2 Pt 0.5000 0.5000 0.5000  4 Co 2.62, 8 C 2.90
3 C 0.5000 0.0000 0.0000  2 Si 1.85
4 Co 0.0000 0.5000 0.0000  2 Si 2.24
5 C 0.0000 0.0000 0.5000  2 Si 1.85

Total moment: 1.72 μB/cell
Calculated total energy: -5.7223 eV/atom
Uncorrected formation energy: 1.681 eV/atom
V: 12.2 Å³/atom



CoSn2PtC | PBE-GGA | relaxed

Unit cell a=4.7983 b=4.6393 c=4.7983 alpha=90.00 beta=90.00 gamma=90.00
Last column: nearest neighbours and their distance in Å.
Sites, in units of the cell vectors:
1 Co 0.0000 0.0000 0.0000  2 Pt 2.32, 4 Sn 2.40
2 Pt 0.0000 0.5000 0.0000  2 Co 2.32
3 Sn 0.0000 0.0000 0.5000  2 Co 2.40
4 C 0.5000 0.5000 0.5000  8 Sn 3.34, 4 Pt 3.39
5 Sn 0.5000 0.0000 0.0000  2 Co 2.40

Total moment: 2.36 μB/cell
Calculated total energy: -4.5432 eV/atom
V: 21.4 Å³/atom
E_form: 147.8 kJ/mol of atoms



Ta2CoPtC | PBE-GGA | relaxed

Unit cell a=4.2819 b=4.2819 c=3.7950 alpha=90.00 beta=90.00 gamma=90.00
Last column: nearest neighbours and their distance in Å.
Sites, in units of the cell vectors:
1 Ta 0.5000 0.0000 0.0000  2 C 2.14
2 C 0.0000 0.0000 0.0000  2 Co 1.90
3 Ta 0.0000 0.5000 0.0000  2 C 2.14
4 Pt 0.5000 0.5000 0.5000  8 Ta 2.86, 4 Co 3.03
5 Co 0.0000 0.0000 0.5000  2 C 1.90

Total moment: 1.08 μB/cell
Calculated total energy: -9.5761 eV/atom
V: 13.9 Å³/atom
E_form: -34.8 kJ/mol of atoms



Co2TcPtC | PBE-GGA | relaxed

Unit cell a=3.8629 b=3.8629 c=4.0180 alpha=90.00 beta=90.00 gamma=90.00
Last column: nearest neighbours and their distance in Å.
Sites, in units of the cell vectors:
1 Co 0.5000 0.0000 0.0000  2 C 1.93
2 Pt 0.5000 0.5000 0.5000  4 Tc 2.73, 8 Co 2.79
3 Tc 0.0000 0.0000 0.5000  2 C 2.01
4 Co 0.0000 0.5000 0.0000  2 C 1.93
5 C 0.0000 0.0000 0.0000  4 Co 1.93, 2 Tc 2.01

Total moment: 3.80 μB/cell
Calculated total energy: -7.7949 eV/atom
V: 12.0 Å³/atom
E_form: 16.8 kJ/mol of atoms



Please write out number 3 again, unchanged.
CoSiPtC2 | PBE-GGA | relaxed

Unit cell a=3.6985 b=4.4747 c=3.6985 alpha=90.00 beta=90.00 gamma=90.00
Last column: nearest neighbours and their distance in Å.
Sites, in units of the cell vectors:
1 Si 0.0000 0.0000 0.0000  4 C 1.85
2 Pt 0.5000 0.5000 0.5000  4 Co 2.62, 8 C 2.90
3 C 0.5000 0.0000 0.0000  2 Si 1.85
4 Co 0.0000 0.5000 0.0000  2 Si 2.24
5 C 0.0000 0.0000 0.5000  2 Si 1.85

Total moment: 1.72 μB/cell
Calculated total energy: -5.7223 eV/atom
Uncorrected formation energy: 1.681 eV/atom
V: 12.2 Å³/atom



What did the third record say?
CoSiPtC2 | PBE-GGA | relaxed

Unit cell a=3.6985 b=4.4747 c=3.6985 alpha=90.00 beta=90.00 gamma=90.00
Last column: nearest neighbours and their distance in Å.
Sites, in units of the cell vectors:
1 Si 0.0000 0.0000 0.0000  4 C 1.85
2 Pt 0.5000 0.5000 0.5000  4 Co 2.62, 8 C 2.90
3 C 0.5000 0.0000 0.0000  2 Si 1.85
4 Co 0.0000 0.5000 0.0000  2 Si 2.24
5 C 0.0000 0.0000 0.5000  2 Si 1.85

Total moment: 1.72 μB/cell
Calculated total energy: -5.7223 eV/atom
Uncorrected formation energy: 1.681 eV/atom
V: 12.2 Å³/atom



- total moment of number 4 (CoSn2PtC)?
  2.36 μB/cell